Here is a geometry-optimized Ac2PmThSe4 structure from the Alexandria database. Energies are from GGA-PBE.

Unit cell a=4.2956 b=7.4748 c=7.5596 alpha=109.09 beta=90.00 gamma=90.00
Fractional positions:
Ac  0.5000  0.0000  0.5000
Ac  0.0000  0.5000  0.5000
Pm  0.0000  0.0000  0.0000
Th  0.5000  0.5000  0.0000
Se  0.5000  0.2434  0.2321
Se  0.5000  0.7566  0.7679
Se  0.0000  0.2543  0.7671
Se  0.0000  0.7457  0.2329

Results
- E: -6.050 eV per atom
- Theoretical density: 8.303 g/cm3
- Formation energy (no corrections): -14.1 eV/f.u.

***

Here is a geometry-optimized AcPmTh2Se4 structure from the Alexandria database. Energies are from GGA-PBE.

Unit cell a=4.2803 b=7.4339 c=7.3256 alpha=70.51 beta=90.00 gamma=90.00
Fractional positions:
Ac  0.5000  0.5000  0.0000
Pm  0.0000  0.5000  0.5000
Th  0.0000  0.0000  0.0000
Th  0.5000  0.0000  0.5000
Se  0.0000  0.7580  0.7392
Se  0.0000  0.2420  0.2608
Se  0.5000  0.7527  0.2568
Se  0.5000  0.2473  0.7432

Results
- E: -6.369 eV per atom
- Theoretical density: 8.705 g/cm3
- Formation energy (no corrections): -13.3 eV/f.u.

***

Here is a geometry-optimized Ac3Pm2ThSe6 structure from the Alexandria database. Energies are from GGA-PBE.

Unit cell a=7.4481 b=7.4481 c=7.5958 alpha=99.45 beta=99.45 gamma=120.14
Fractional positions:
Ac  0.1675  0.8325  0.5000
Ac  0.8325  0.1675  0.5000
Ac  0.5000  0.5000  0.5000
Pm  0.3339  0.6661  0.0000
Pm  0.6661  0.3339  0.0000
Th  0.0000  0.0000  0.0000
Se  0.9230  0.5893  0.7685
Se  0.7445  0.7445  0.2333
Se  0.0770  0.4107  0.2315
Se  0.5893  0.9230  0.7685
Se  0.2555  0.2555  0.7667
Se  0.4107  0.0770  0.2315

Results
- E: -5.967 eV per atom
- Theoretical density: 8.091 g/cm3
- Formation energy (no corrections): -21.4 eV/f.u.

***

Here is a geometry-optimized AcPmTm2Se4 structure from the Alexandria database. Energies are from GGA-PBE.

Unit cell a=4.0627 b=7.5687 c=7.0622 alpha=71.95 beta=90.00 gamma=90.00
Fractional positions:
Ac  0.5000  0.5000  0.0000
Pm  0.0000  0.5000  0.5000
Tm  0.0000  0.0000  0.0000
Tm  0.5000  0.0000  0.5000
Se  0.0000  0.7800  0.7337
Se  0.0000  0.2200  0.2663
Se  0.5000  0.7749  0.2474
Se  0.5000  0.2251  0.7526

Results
- E: -5.716 eV per atom
- Theoretical density: 8.249 g/cm3
- Formation energy (no corrections): -14.0 eV/f.u.

***

Please write out number 4 again, unchanged.
Here is a geometry-optimized AcPmTm2Se4 structure from the Alexandria database. Energies are from GGA-PBE.

Unit cell a=4.0627 b=7.5687 c=7.0622 alpha=71.95 beta=90.00 gamma=90.00
Fractional positions:
Ac  0.5000  0.5000  0.0000
Pm  0.0000  0.5000  0.5000
Tm  0.0000  0.0000  0.0000
Tm  0.5000  0.0000  0.5000
Se  0.0000  0.7800  0.7337
Se  0.0000  0.2200  0.2663
Se  0.5000  0.7749  0.2474
Se  0.5000  0.2251  0.7526

Results
- E: -5.716 eV per atom
- Theoretical density: 8.249 g/cm3
- Formation energy (no corrections): -14.0 eV/f.u.